No. 1
Entry from the Alexandria database: a relaxed Rb3Sm3UO8 crystal (PBE).

Cell and atoms, written as POSCAR:
```
Rb3Sm3UO8
1.0
-1.927 6.523 -2.256
-1.882 -2.228 6.544
7.564 1.846 -1.120
Sm O Rb U
3 8 3 1
Direct
0.500 0.500 0.500
0.500 0.000 0.500
0.000 0.500 0.500
0.741 0.954 0.667
0.725 0.449 0.674
0.787 0.046 0.333
0.213 0.427 0.667
0.787 0.573 0.333
0.275 0.551 0.326
0.259 0.046 0.333
0.213 0.954 0.667
0.000 0.000 0.000
0.000 0.500 0.000
0.500 0.500 0.000
0.000 0.000 0.500
```

Properties
E_form (uncorrected), eV per formula unit: -40.93

***

No. 2
Entry from the Alexandria database: a relaxed Er2HfZn3 crystal (PBE).

Cell and atoms, written as POSCAR:
```
Er2HfZn3
1.0
-1.806 1.709 -2.390
-0.173 -2.862 -1.916
-8.850 -2.666 4.779
Er Zn Hf
2 3 1
Direct
0.500 0.500 0.826
0.500 0.500 0.174
0.000 0.000 0.647
0.000 0.000 0.000
0.000 0.000 0.353
0.500 0.500 0.500
```

Properties
ΔH_f (0 K), eV/f.u.: -1.60

***

No. 3
Entry from the Alexandria database: a relaxed SnAsSCl2 crystal (PBE).

Cell and atoms, written as POSCAR:
```
SnAsSCl2
1.0
-2.166 2.739 -3.510
-4.188 0.074 2.642
1.560 4.251 2.354
As S Sn Cl
1 1 1 2
Direct
0.000 0.000 0.000
0.000 0.000 0.500
0.500 0.500 0.500
0.500 0.000 0.000
0.000 0.500 0.000
```

Properties
Polymorph energy (0 for the lowest one), meV/atom: 0
E_form (uncorrected), eV per formula unit: -0.43

***

No. 4
Entry from the Alexandria database: a relaxed K2ZrCu crystal (PBE).

Cell and atoms, written as POSCAR:
```
K2ZrCu
1.0
-2.329 2.098 -0.670
-1.250 -0.456 2.916
6.593 8.654 4.179
Cu Zr K
1 1 2
Direct
0.500 0.500 0.750
0.500 0.500 0.250
0.000 0.000 0.957
0.000 0.000 0.543
```

Properties
ΔH_f (0 K), eV/f.u.: 3.26
Polymorph energy (0 for the lowest one), meV/atom: 407

***

No. 5
Entry from the Alexandria database: a relaxed DyTm4Ni2 crystal (PBE).

Cell and atoms, written as POSCAR:
```
DyTm4Ni2
1.0
-3.313 1.966 -0.346
-3.340 -1.900 -0.443
-3.894 -0.319 13.849
Ni Tm Dy
2 4 1
Direct
0.400 0.400 0.799
0.600 0.600 0.201
0.300 0.300 0.100
0.101 0.101 0.697
0.700 0.700 0.900
0.899 0.899 0.303
0.500 0.500 0.500
```

Properties
ΔH_f (0 K), eV/f.u.: -1.10
Polymorph energy (0 for the lowest one), meV/atom: 24

***

No. 6
Entry from the Alexandria database: a relaxed B5C7 crystal (PBE).

Cell and atoms, written as POSCAR:
```
B5C7
1.0
-1.333 -2.040 1.064
2.861 -2.325 -0.873
3.951 1.261 7.366
B C
5 7
Direct
0.500 0.411 0.110
0.500 0.481 0.837
0.000 0.957 0.001
0.000 0.331 0.546
0.000 0.959 0.306
0.000 0.007 0.680
0.500 0.813 0.379
0.000 0.218 0.157
0.000 0.248 0.813
0.500 0.786 0.670
0.500 0.732 0.983
0.500 0.557 0.517
```

Properties
ΔH_f (0 K), eV/f.u.: 4.15
Polymorph energy (0 for the lowest one), meV/atom: 88

***

No. 7
Entry from the Alexandria database: a relaxed SbPb2Cl crystal (PBE).

Cell and atoms, written as POSCAR:
```
SbPb2Cl
1.0
-7.387 -2.617 -1.178
4.611 -5.682 2.476
-0.771 6.256 8.206
Cl Pb Sb
4 8 4
Direct
0.544 0.294 0.589
0.456 0.706 0.411
0.171 0.421 0.841
0.829 0.579 0.159
0.177 0.946 0.374
0.433 0.165 0.876
0.823 0.054 0.626
0.567 0.835 0.124
0.303 0.572 0.626
0.057 0.289 0.124
0.697 0.428 0.374
0.943 0.711 0.876
0.310 0.060 0.121
0.690 0.940 0.879
0.935 0.185 0.371
0.065 0.815 0.629
```

Properties
Polymorph energy (0 for the lowest one), meV/atom: 16
E_form (uncorrected), eV per formula unit: -1.63

***

No. 8
Entry from the Alexandria database: a relaxed Pr2DyP3Rh4 crystal (PBE).

Cell and atoms, written as POSCAR:
```
Pr2DyP3Rh4
1.0
4.054 0.000 0.000
0.000 4.054 0.000
0.000 0.000 11.228
P Rh Dy Pr
3 4 1 2
Direct
0.000 0.000 0.500
0.000 0.500 0.123
0.500 0.000 0.877
0.500 0.000 0.667
0.000 0.000 0.000
0.500 0.500 0.000
0.000 0.500 0.333
0.500 0.500 0.500
0.000 0.500 0.775
0.500 0.000 0.225
```

Properties
ΔH_f (0 K), eV/f.u.: -10.54

***

No. 9
Entry from the Alexandria database: a relaxed MnW2Se crystal (PBE).

Cell and atoms, written as POSCAR:
```
MnW2Se
1.0
-2.847 -2.203 -3.678
-3.790 -3.127 1.530
1.884 4.782 0.251
W Mn Se
2 1 1
Direct
0.996 0.996 0.000
0.504 0.504 0.000
0.250 0.750 0.500
0.750 0.250 0.500
```

Properties
E_form (uncorrected), eV per formula unit: 1.95

***

No. 10
Entry from the Alexandria database: a relaxed ZnSiPt3 crystal (PBE).

Cell and atoms, written as POSCAR:
```
ZnSiPt3
1.0
-1.233 2.854 3.413
-3.746 1.245 -2.394
-2.401 -3.409 1.983
Pt Si Zn
3 1 1
Direct
0.500 0.000 0.000
0.000 0.500 0.000
0.000 0.000 0.500
0.500 0.500 0.500
0.000 0.000 0.000
```

Properties
Polymorph energy (0 for the lowest one), meV/atom: 741
E_form (uncorrected), eV per formula unit: 4.38

***

No. 11
Entry from the Alexandria database: a relaxed La2GaSbAu6 crystal (PBE).

Cell and atoms, written as POSCAR:
```
La2GaSbAu6
1.0
5.758 0.000 0.000
0.000 9.636 0.000
0.000 0.000 8.756
Au Ga La Sb
12 2 4 2
Direct
0.756 0.028 0.500
0.000 0.894 0.740
0.500 0.106 0.240
0.249 0.527 0.000
0.251 0.473 0.500
0.244 0.028 0.500
0.751 0.527 0.000
0.500 0.106 0.760
0.000 0.894 0.260
0.749 0.473 0.500
0.744 0.972 0.000
0.256 0.972 0.000
0.500 0.256 0.500
0.000 0.744 0.000
0.500 0.740 0.248
0.000 0.260 0.252
0.500 0.740 0.752
0.000 0.260 0.748
0.500 0.286 0.000
0.000 0.714 0.500
```

Properties
E_form (uncorrected), eV per formula unit: -5.22

***

No. 12
Entry from the Alexandria database: a relaxed DyHfGaCu crystal (PBE).

Cell and atoms, written as POSCAR:
```
DyHfGaCu
1.0
-2.457 -4.138 -0.140
2.222 -4.154 0.991
-0.995 -2.348 4.084
Cu Hf Dy Ga
1 1 1 1
Direct
0.250 0.250 0.250
0.500 0.500 0.500
0.000 0.000 0.000
0.750 0.750 0.750
```

Properties
ΔH_f (0 K), eV/f.u.: -1.05

***

No. 13
Entry from the Alexandria database: a relaxed Be2IrRh crystal (PBE).

Cell and atoms, written as POSCAR:
```
Be2IrRh
1.0
-3.480 -0.929 1.488
-2.986 -2.377 -0.791
1.067 -3.793 2.641
Be Rh Ir
2 1 1
Direct
0.499 0.499 0.503
0.001 0.001 0.997
0.250 0.250 0.250
0.750 0.750 0.750
```

Properties
ΔH_f (0 K), eV/f.u.: -1.47

***

No. 14
Entry from the Alexandria database: a relaxed Lu2MgIn crystal (PBE).

Cell and atoms, written as POSCAR:
```
Lu2MgIn
1.0
4.292 0.000 0.000
0.000 4.855 0.000
0.000 0.000 4.855
Lu In Mg
2 1 1
Direct
0.000 0.500 0.000
0.000 0.000 0.500
0.500 0.500 0.500
0.500 0.000 0.000
```

Properties
ΔH_f (0 K), eV/f.u.: -1.07
Polymorph energy (0 for the lowest one), meV/atom: 0

***

No. 15
Entry from the Alexandria database: a relaxed MnFeHPd2 crystal (PBE).

Cell and atoms, written as POSCAR:
```
MnFeHPd2
1.0
-1.080 1.507 3.468
-1.606 -3.448 0.998
3.389 -1.131 1.547
Fe H Mn Pd
1 1 1 2
Direct
0.000 0.000 0.500
0.000 0.000 0.000
0.500 0.500 0.500
0.000 0.500 0.000
0.500 0.000 0.000
```

Properties
Polymorph energy (0 for the lowest one), meV/atom: 6

***

No. 16
Entry from the Alexandria database: a relaxed CaTaNi3 crystal (PBE).

Cell and atoms, written as POSCAR:
```
CaTaNi3
1.0
-0.165 -3.956 1.920
3.997 -0.935 -1.585
1.833 1.685 3.629
Ta Ni Ca
1 3 1
Direct
0.500 0.500 0.500
0.000 0.000 0.500
0.000 0.500 0.000
0.500 0.000 0.000
0.000 0.000 0.000
```

Properties
ΔH_f (0 K), eV/f.u.: 7.70
Polymorph energy (0 for the lowest one), meV/atom: 964

***

No. 17
Entry from the Alexandria database: a relaxed Y2HgSb2 crystal (PBE).

Cell and atoms, written as POSCAR:
```
Y2HgSb2
1.0
5.448 0.000 0.000
0.000 5.448 0.000
2.724 2.724 5.720
Sb Hg Y
2 1 2
Direct
0.633 0.633 0.734
0.367 0.367 0.266
0.000 0.000 0.000
0.250 0.750 0.500
0.750 0.250 0.500
```

Properties
Polymorph energy (0 for the lowest one), meV/atom: 277
E_form (uncorrected), eV per formula unit: -2.51

***

No. 18
Entry from the Alexandria database: a relaxed Tb5Sm2Er6 crystal (PBE).

Cell and atoms, written as POSCAR:
```
Tb5Sm2Er6
1.0
-1.458 -1.916 2.625
0.173 -9.423 -6.782
18.411 -4.604 6.867
Tb Sm Er
10 4 12
Direct
0.500 0.000 0.500
0.500 0.300 0.450
0.500 0.089 0.225
0.500 0.500 0.000
0.500 0.700 0.550
0.500 0.411 0.725
0.500 0.911 0.775
0.500 0.200 0.950
0.500 0.800 0.050
0.500 0.589 0.275
0.000 0.669 0.713
0.000 0.831 0.213
0.000 0.169 0.787
0.000 0.331 0.287
0.000 0.580 0.132
0.000 0.420 0.868
0.000 0.059 0.080
0.500 0.323 0.132
0.000 0.920 0.632
0.500 0.677 0.868
0.000 0.941 0.920
0.500 0.823 0.368
0.500 0.177 0.632
0.000 0.559 0.420
0.000 0.441 0.580
0.000 0.080 0.368
```

Properties
ΔH_f (0 K), eV/f.u.: 1.28

***

No. 19
Entry from the Alexandria database: a relaxed Rb2BePb crystal (PBE).

Cell and atoms, written as POSCAR:
```
Rb2BePb
1.0
-13.039 -3.327 0.904
3.340 -11.311 6.544
-4.996 -6.202 5.729
Pb Rb Be
2 4 2
Direct
0.000 0.000 0.000
0.750 0.250 0.500
0.375 0.574 0.750
0.324 0.625 0.250
0.426 0.125 0.250
0.875 0.676 0.750
0.250 0.750 0.500
0.500 0.500 0.000
```

Properties
ΔH_f (0 K), eV/f.u.: 1.08
Polymorph energy (0 for the lowest one), meV/atom: 0

***

No. 20
Entry from the Alexandria database: a relaxed LiTlH2 crystal (PBE).

Cell and atoms, written as POSCAR:
```
LiTlH2
1.0
-3.269 -0.362 -0.600
-1.027 -1.651 -2.719
-1.437 -6.194 2.248
H Tl Li
2 1 1
Direct
0.298 0.298 0.107
0.078 0.078 0.765
0.478 0.478 0.567
0.646 0.646 0.061
```

Properties
Polymorph energy (0 for the lowest one), meV/atom: 29

***

No. 21
Entry from the Alexandria database: a relaxed Dy3Y3Er5 crystal (PBE).

Cell and atoms, written as POSCAR:
```
Dy3Y3Er5
1.0
-3.343 4.378 0.077
-6.476 -4.854 -5.182
-0.270 -0.374 9.599
Dy Y Er
3 3 5
Direct
0.000 0.000 0.458
0.000 0.542 0.542
0.000 0.458 0.000
0.500 0.736 0.736
0.500 0.000 0.264
0.500 0.264 0.000
0.500 0.667 0.333
0.500 0.625 0.000
0.500 0.333 0.667
0.500 0.000 0.625
0.500 0.375 0.375
```

Properties
ΔH_f (0 K), eV/f.u.: 9.06

***

No. 22
Entry from the Alexandria database: a relaxed Cr2AsAu crystal (PBE).

Cell and atoms, written as POSCAR:
```
Cr2AsAu
1.0
-2.678 3.933 0.475
-2.868 2.294 3.062
3.344 2.696 1.953
Cr Au As
2 1 1
Direct
0.742 0.742 0.746
0.008 0.008 0.986
0.264 0.264 0.223
0.486 0.486 0.545
```

Properties
ΔH_f (0 K), eV/f.u.: 0.74

***

No. 23
Entry from the Alexandria database: a relaxed Cd2InRu crystal (PBE).

Cell and atoms, written as POSCAR:
```
Cd2InRu
1.0
-2.614 -3.156 -0.519
-0.488 -0.269 4.093
-3.379 2.835 -0.217
Cd Ru In
2 1 1
Direct
0.000 0.000 0.000
0.500 0.500 0.000
0.000 0.500 0.500
0.500 0.000 0.500
```

Properties
ΔH_f (0 K), eV/f.u.: 0.71
Polymorph energy (0 for the lowest one), meV/atom: 91

***

No. 24
Entry from the Alexandria database: a relaxed PbIN2F crystal (PBE).

Cell and atoms, written as POSCAR:
```
PbIN2F
1.0
4.228 0.000 0.000
0.000 4.228 0.000
0.000 0.000 4.591
I F Pb N
1 1 1 2
Direct
0.000 0.000 0.000
0.000 0.000 0.500
0.500 0.500 0.500
0.500 0.000 0.000
0.000 0.500 0.000
```

Properties
Polymorph energy (0 for the lowest one), meV/atom: 0
E_form (uncorrected), eV per formula unit: 4.27

***

no.,total moment (μB per cell)
1,2.00
2,0.00
3,0.18
4,0.00
5,0.00
6,0.00
7,0.00
8,0.00
9,0.00
10,0.00
11,0.00
12,0.47
13,0.00
14,0.00
15,7.22
16,1.50
17,0.00
18,0.00
19,0.00
20,0.00
21,0.00
22,0.12
23,0.00
24,0.00